Below is a relaxed Th6NiHg crystal, with properties calculated at the PBE level.

```
data_Th6NiHg
_symmetry_space_group_name_H-M 'R -3 m'
_symmetry_Int_Tables_number 166
_symmetry_space_group_name_Hall '-R 3 2"'
_cell_length_a 9.9432
_cell_length_b 9.9432
_cell_length_c 8.5601
_cell_angle_alpha 90.00
_cell_angle_beta 90.00
_cell_angle_gamma 120.00
loop_
_atom_site_label
_atom_site_type_symbol
_atom_site_fract_x
_atom_site_fract_y
_atom_site_fract_z
Th1 Th 0.0677 0.5338 0.3317
Ni1 Ni 0.0000 0.0000 0.5000
Hg1 Hg 0.0000 0.0000 0.0000
```

Computed properties:
- D(E_F): 30.573 states/eV per cell
- Total moment: 0.00 μB/f.u.
- Energy of formation: 0.071 eV per atom
- Calculated total energy: -150.1 eV/cell